Computed, not measured: a relaxed structure of Ho2TmCoSn3Ir2 at the PBE-GGA level of DFT.

POSCAR file:
```
Ho2TmCoSn3Ir2
1.0
-0.3244 1.0884 -3.5824
-5.9244 4.2353 1.8233
6.9091 2.9249 0.2630
Co Ho Ir Sn Tm
1 2 2 3 1
direct
0.0000 0.9993 0.9993
0.0000 0.4057 0.0000
0.0000 0.0000 0.4057
0.5000 0.6660 0.3350
0.5000 0.3350 0.6660
0.5000 0.2536 0.2536
0.5000 0.9993 0.7465
0.5000 0.7465 0.9993
0.0000 0.5947 0.5947
```

Output
SG = Amm2
raw total energy = -57.23 eV per cell

=====

Computed, not measured: a relaxed structure of Lu4FeC3 at the PBE-GGA level of DFT.

POSCAR file:
```
Lu4FeC3
1.0
-1.7694 -1.2577 -2.6812
1.4480 -2.1528 2.2737
-21.6988 0.3531 14.1537
C Fe Lu
6 2 8
direct
0.0000 0.0000 0.0000
0.6667 0.3333 0.1145
0.6667 0.3333 0.3855
0.0000 0.0000 0.5000
0.3333 0.6667 0.6145
0.3333 0.6667 0.8855
0.3333 0.6667 0.2500
0.6667 0.3333 0.7500
0.3333 0.6667 0.0557
0.0000 0.0000 0.1615
0.0000 0.0000 0.3385
0.3333 0.6667 0.4443
0.6667 0.3333 0.5557
0.0000 0.0000 0.6615
0.0000 0.0000 0.8385
0.6667 0.3333 0.9443
```

Output
SG = P6_3/mmc
raw total energy = -108.94 eV per cell

=====

Computed, not measured: a relaxed structure of Tl2NiGeBr6 at the PBE-GGA level of DFT.

POSCAR file:
```
Tl2NiGeBr6
1.0
-0.1285 -2.5324 6.9707
-5.0978 2.5139 4.7659
-5.5035 -4.4451 2.2302
Br Ge Ni Tl
6 1 1 2
direct
0.7415 0.2585 0.2585
0.2585 0.7415 0.2585
0.7415 0.7415 0.2585
0.2585 0.2585 0.7415
0.7415 0.2585 0.7415
0.2585 0.7415 0.7415
0.0000 0.0000 0.0000
0.5000 0.5000 0.5000
0.2500 0.2500 0.2500
0.7500 0.7500 0.7500
```

Output
SG = Fm-3m
raw total energy = -30.52 eV per cell

=====

Computed, not measured: a relaxed structure of Y5CuTe3 at the PBE-GGA level of DFT.

POSCAR file:
```
Y5CuTe3
1.0
8.4114 0.0000 0.0000
-4.2057 7.2845 0.0000
0.0000 0.0000 4.0085
Cu Te Y
1 3 5
direct
0.0000 0.0000 0.0000
0.2758 0.0000 0.5000
0.0000 0.2758 0.5000
0.7242 0.7242 0.5000
0.6716 0.0000 0.0000
0.3284 0.3284 0.0000
0.0000 0.6716 0.0000
0.6667 0.3333 0.5000
0.3333 0.6667 0.5000
```

Output
SG = P-62m
offset from the most stable computed form = 22 kJ/mol of formula units

=====

Computed, not measured: a relaxed structure of Hf2CuB2 at the PBE-GGA level of DFT.

POSCAR file:
```
Hf2CuB2
1.0
-5.7355 -0.3231 -2.0684
5.4818 -2.5553 0.8363
-1.0354 -1.2192 3.0614
B Cu Hf
2 1 2
direct
0.7858 0.2142 0.0000
0.2142 0.7858 0.0000
0.0000 0.0000 0.0000
0.6365 0.3635 0.5000
0.3635 0.6365 0.5000
```

Output
SG = Cmmm
raw total energy = -40.17 eV per cell

=====

Computed, not measured: a relaxed structure of GdErCd2 at the PBE-GGA level of DFT.

POSCAR file:
```
GdErCd2
1.0
5.2688 0.0000 0.0000
0.0000 3.4025 5.8180
0.0000 -3.4025 5.8180
Cd Er Gd
4 2 2
direct
0.0000 0.6813 0.1625
0.0000 0.1648 0.1648
0.0000 0.1625 0.6813
0.5000 0.8288 0.8288
0.5000 0.8377 0.3167
0.5000 0.3167 0.8377
0.5000 0.3323 0.3323
0.0000 0.6758 0.6758
```

Output
SG = Amm2
offset from the most stable computed form = 54 kJ/mol of formula units
ΔH_f (0 K) = -0.186 eV/atom

=====

Computed, not measured: a relaxed structure of SmReTc at the PBE-GGA level of DFT.

POSCAR file:
```
SmReTc
1.0
-3.9548 -1.3988 -1.6587
-3.0932 3.0146 -1.3012
-0.9238 0.5354 -4.3827
Re Sm Tc
1 1 1
direct
0.2500 0.2500 0.2500
0.0000 0.0000 0.0000
0.7500 0.7500 0.7500
```

Output
SG = F-43m
ΔH_f (0 K) = 1.877 eV/atom

=====

Computed, not measured: a relaxed structure of TbAl4GaIr at the PBE-GGA level of DFT.

POSCAR file:
```
TbAl4GaIr
1.0
4.2896 0.0000 0.0000
0.0000 4.2896 0.0000
0.0000 0.0000 6.9624
Al Ga Ir Tb
4 1 1 1
direct
0.5000 0.0000 0.3061
0.0000 0.5000 0.3061
0.5000 0.0000 0.6939
0.0000 0.5000 0.6939
0.0000 0.0000 0.0000
0.5000 0.5000 0.5000
0.5000 0.5000 0.0000
```

Output
SG = P4/mmm
raw total energy = -36.06 eV per cell

=====

Please write out number 1 again, unchanged.
Computed, not measured: a relaxed structure of Ho2TmCoSn3Ir2 at the PBE-GGA level of DFT.

POSCAR file:
```
Ho2TmCoSn3Ir2
1.0
-0.3244 1.0884 -3.5824
-5.9244 4.2353 1.8233
6.9091 2.9249 0.2630
Co Ho Ir Sn Tm
1 2 2 3 1
direct
0.0000 0.9993 0.9993
0.0000 0.4057 0.0000
0.0000 0.0000 0.4057
0.5000 0.6660 0.3350
0.5000 0.3350 0.6660
0.5000 0.2536 0.2536
0.5000 0.9993 0.7465
0.5000 0.7465 0.9993
0.0000 0.5947 0.5947
```

Output
SG = Amm2
raw total energy = -57.23 eV per cell

=====

Which formula does entry 3 have? Tl2NiGeBr6

=====

Copy entry 1 word for word.
Computed, not measured: a relaxed structure of Ho2TmCoSn3Ir2 at the PBE-GGA level of DFT.

POSCAR file:
```
Ho2TmCoSn3Ir2
1.0
-0.3244 1.0884 -3.5824
-5.9244 4.2353 1.8233
6.9091 2.9249 0.2630
Co Ho Ir Sn Tm
1 2 2 3 1
direct
0.0000 0.9993 0.9993
0.0000 0.4057 0.0000
0.0000 0.0000 0.4057
0.5000 0.6660 0.3350
0.5000 0.3350 0.6660
0.5000 0.2536 0.2536
0.5000 0.9993 0.7465
0.5000 0.7465 0.9993
0.0000 0.5947 0.5947
```

Output
SG = Amm2
raw total energy = -57.23 eV per cell